Here is Tb3Dy2Cd after structural relaxation from Alexandria. Energies are from PBE.

Output
As for the relative energy among the computed polymorphs: 5.77 kcal/mol of atoms. Its formation energy is 1.0 eV/f.u.

Structure (CIF):
```
data_Tb3Dy2Cd
_space_group_name_H-M_alt 'I m m 2'
_space_group_IT_number 44
_cell_length_a 3.4545
_cell_length_b 16.9652
_cell_length_c 6.4754
_cell_angle_alpha 90.00
_cell_angle_beta 90.00
_cell_angle_gamma 90.00
loop_
_space_group_symop_operation_xyz
'x,y,z'
'-x,-y,z'
'-x,y,z'
'x,-y,z'
'x+1/2,y+1/2,z+1/2'
'-x+1/2,-y+1/2,z+1/2'
'-x+1/2,y+1/2,z+1/2'
'x+1/2,-y+1/2,z+1/2'
loop_
_atom_site_label
_atom_site_fract_x
_atom_site_fract_y
_atom_site_fract_z
Tb1 0.0000 0.0000 0.0000
Tb2 0.0000 0.3660 0.8034
Dy1 0.0000 0.3079 0.3065
Cd1 0.0000 0.5000 0.1046
```